No. 1
The following is a DFT calculation (GGA-PBE) of a relaxed Y2TiMnNi crystal.

Cell lengths 5.3738, 5.3738, 4.2666 Å; angles 90.00, 90.00, 90.00 degrees
With the nearest neighbours (Å) after each atom.
Atoms (fractional coordinates):
Y 0.0000 0.5000 0.0000  2 Ti 2.69
Y 0.5000 0.0000 0.0000  2 Ti 2.69
Ti 0.0000 0.0000 0.0000  2 Ni 2.13
Mn 0.5000 0.5000 0.5000  8 Y 3.43, 4 Ni 3.80
Ni 0.0000 0.0000 0.5000  2 Ti 2.13

Output
energy of formation	764	meV per atom

No. 2
The following is a DFT calculation (GGA-PBE) of a relaxed Ac8MgPb2 crystal.

Cell lengths 10.9436, 10.9436, 7.6074 Å; angles 103.20, 103.20, 30.31 degrees
With the nearest neighbours (Å) after each atom.
Atoms (fractional coordinates):
Ac 0.0184 0.0184 0.2670  2 Mg 3.44, 1 Pb 3.48, 1 Ac 3.81
Ac 0.2060 0.2060 0.8257  3 Pb 3.46-3.86, 2 Ac 3.80
Ac 0.3410 0.3410 0.5087  1 Mg 3.38, 3 Pb 3.43-3.46
Ac 0.4090 0.4090 0.0239  1 Mg 3.68, 2 Pb 3.83, 6 Ac 3.84-4.09
Ac 0.5910 0.5910 0.9761  1 Mg 3.68, 2 Pb 3.83, 6 Ac 3.84-4.09
Ac 0.6590 0.6590 0.4913  1 Mg 3.38, 3 Pb 3.43-3.46
Ac 0.7940 0.7940 0.1743  3 Pb 3.46-3.86, 2 Ac 3.80
Ac 0.9816 0.9816 0.7330  2 Mg 3.44, 1 Pb 3.48, 1 Ac 3.81
Mg 0.5000 0.5000 0.5000  8 Ac 3.38-3.68
Pb 0.1827 0.1827 0.2602  7 Ac 3.43-3.83
Pb 0.8173 0.8173 0.7398  7 Ac 3.43-3.83

Output
energy of formation	-144	meV per atom

No. 3
The following is a DFT calculation (GGA-PBE) of a relaxed Pm4UN5 crystal.

Cell lengths 6.1683, 6.1683, 6.1683 Å; angles 99.66, 99.66, 131.63 degrees
With the nearest neighbours (Å) after each atom.
Atoms (fractional coordinates):
Pm 0.1006 0.6999 0.8005  6 N 2.52-2.78
Pm 0.3001 0.1006 0.4008  6 N 2.52-2.78
Pm 0.6999 0.8994 0.5992  6 N 2.52-2.78
Pm 0.8994 0.3001 0.1995  6 N 2.52-2.78
U 0.5000 0.5000 0.0000  4 N 2.25
N 0.0000 0.0000 0.0000  4 Pm 2.52, 2 U 2.53
N 0.2313 0.4106 0.6419  1 U 2.25
N 0.4106 0.7687 0.1793  1 U 2.25
N 0.5894 0.2313 0.8207  1 U 2.25
N 0.7687 0.5894 0.3581  1 U 2.25

Output
ΔE_f (raw)	-1.4794	eV per atom

No. 4
The following is a DFT calculation (GGA-PBE) of a relaxed DyCuH crystal.

Cell lengths 4.8841, 4.8841, 4.8841 Å; angles 138.81, 138.81, 59.66 degrees
With the nearest neighbours (Å) after each atom.
Atoms (fractional coordinates):
Dy 0.0000 0.0000 0.0000  4 H 2.44
Cu 0.6747 0.6747 0.0000  1 H 1.72
H 0.4717 0.4717 0.0000  1 Cu 1.72

Output
DFT total energy	-4.047	eV per atom

Number 1 is which compound? Y2TiMnNi